5
Lattice="4.2961 0.0000 0.0000 0.0000 4.2961 0.0000 0.0000 0.0000 4.0417" Properties=species:S:1:pos:R:3 comment="PBE+U BaFeOF2, relaxed" e_above_lowest_polymorph_mev_per_atom=13 total_magnetization_mub_per_fu=4.0 energy_ev_per_atom=-5.945 pbc="T T T"
Ba 0.0000 0.0000 0.0000
Fe 2.1480 2.1480 2.0209
O 2.1480 2.1480 0.0000
F 0.0000 2.1480 2.0209
F 2.1480 0.0000 2.0209